Compound: NbAu2BrF
Source: Alexandria via LeMat-Bulk
Functional: GGA-PBE
Structure: relaxed

Cell lengths 5.1990, 4.9857, 5.1990 Å; angles 90.00, 90.00, 90.00 degrees
Last column: magnetic moment on the atom in μB.
Fractional positions:
Au: 0.0000 0.0000 0.5000  0.00
Nb: 0.0000 0.0000 0.0000  -0.04
Au: 0.5000 0.0000 0.0000  -0.01
Br: 0.0000 0.5000 0.0000  0.00
F: 0.5000 0.5000 0.5000  -0.15

Computed properties:
- Space-group type: P4/mmm
- Calculated total energy: -0.1351 hartree per atom
- Crystal system: tetragonal


Compound: NbPb
Source: Alexandria via LeMat-Bulk
Functional: GGA-PBE
Structure: relaxed

Cell lengths 9.0808, 15.7913, 5.3342 Å; angles 90.00, 90.00, 90.00 degrees
Fractional positions:
Nb: 0.7500 0.6685 0.7500
Pb: 0.9162 0.7500 0.2500
Pb: 0.0838 0.2500 0.2500
Pb: 0.5838 0.2500 0.7500
Nb: 0.0000 0.9185 0.0000
Nb: 0.0000 0.4185 0.5000
Pb: 0.3338 0.0000 0.0000
Nb: 0.2500 0.3315 0.7500
Nb: 0.2500 0.1685 0.7500
Nb: 0.0000 0.5815 0.5000
Nb: 0.5000 0.5815 0.0000
Nb: 0.0000 0.0815 0.0000
Nb: 0.2500 0.8315 0.2500
Pb: 0.1662 0.0000 0.5000
Nb: 0.5000 0.0815 0.5000
Pb: 0.5838 0.7500 0.2500
Nb: 0.7500 0.3315 0.2500
Pb: 0.3338 0.5000 0.5000
Pb: 0.6662 0.0000 0.0000
Pb: 0.4162 0.7500 0.7500
Nb: 0.5000 0.4185 0.0000
Pb: 0.8338 0.5000 0.0000
Pb: 0.6662 0.5000 0.5000
Pb: 0.1662 0.5000 0.0000
Pb: 0.4162 0.2500 0.2500
Nb: 0.5000 0.9185 0.5000
Pb: 0.9162 0.2500 0.7500
Nb: 0.7500 0.8315 0.7500
Nb: 0.2500 0.6685 0.2500
Pb: 0.8338 0.0000 0.5000
Nb: 0.7500 0.1685 0.2500
Pb: 0.0838 0.7500 0.7500

Computed properties:
- Space-group type: Fddd
- Calculated total energy: -0.2284 hartree per atom
- DFT formation energy: 0.6734 eV per atom
- Crystal system: orthorhombic


Compound: ZrGa2Ag
Source: Alexandria via LeMat-Bulk
Functional: GGA-PBE
Structure: relaxed

Cell lengths 7.3029, 7.3029, 5.9455 Å; angles 52.11, 52.11, 90.00 degrees
Fractional positions:
Ga: 0.1021 0.6250 0.2500
Ag: 0.0000 0.0000 0.0000
Zr: 0.5000 0.5000 0.0000
Ga: 0.8750 0.8979 0.7500
Ga: 0.3750 0.3521 0.7500
Ag: 0.7500 0.2500 0.5000
Zr: 0.2500 0.7500 0.5000
Ga: 0.6479 0.1250 0.2500

Computed properties:
- Space-group type: I-42d
- Calculated total energy: -0.1634 hartree per atom
- DFT formation energy: -0.0829 eV per atom
- Crystal system: tetragonal


- Which of these has the lowest calculated total energy?
  NbPb


- The highest calculated total energy belongs to which entry?
  NbAu2BrF


- calculated total energy of number 1 (NbAu2BrF)?
  -0.1351 hartree per atom